No. 1
First-principles (PBE-GGA) data for a relaxed structure of PmHo2Bi, as listed in the Alexandria database.

Values from the calculation:
**Energy of formation from the pure elements**: -0.34 eV/atom
**Final energy**: -4.783 eV/atom
**Crystal system**: tetragonal
**N(E_F)**: 4.2 states/eV per cell
**Calculated density**: 9.3 g cm⁻³

Unit cell a=4.039 b=4.039 c=7.451 alpha=90.00 beta=90.00 gamma=90.00
Fractional coordinates of all 4 atoms:
Bi1 0.500 0.500 0.500
Ho1 0.000 0.000 0.725
Ho2 0.000 0.000 0.275
Pm1 0.500 0.500 0.000

No. 2
First-principles (PBE-GGA) data for a relaxed structure of NdSnPt2, as listed in the Alexandria database.

Values from the calculation:
**Energy of formation from the pure elements**: -0.75 eV/atom
**Final energy**: -5.962 eV/atom
**Crystal system**: tetragonal
**N(E_F)**: 2.6 states/eV per cell
**Calculated density**: 12.8 g cm⁻³

Unit cell a=3.763 b=4.742 c=4.742 alpha=90.00 beta=90.00 gamma=90.00
Fractional coordinates of all 4 atoms:
Sn1 0.500 0.000 0.000
Nd1 0.500 0.500 0.500
Pt1 0.000 0.000 0.500
Pt2 0.000 0.500 0.000

No. 3
First-principles (PBE-GGA) data for a relaxed structure of BeCuTc3, as listed in the Alexandria database.

Values from the calculation:
**Energy of formation from the pure elements**: 1.93 eV/atom
**Final energy**: -5.851 eV/atom
**Crystal system**: cubic
**N(E_F)**: 7.2 states/eV per cell
**Calculated density**: 7.1 g cm⁻³

Unit cell a=4.417 b=4.417 c=4.417 alpha=90.00 beta=90.00 gamma=90.00
Fractional coordinates of all 5 atoms:
Tc1 0.000 0.000 0.500
Tc2 0.000 0.500 0.000
Tc3 0.500 0.000 0.000
Cu1 0.000 0.000 0.000
Be1 0.500 0.500 0.500

No. 4
First-principles (PBE-GGA) data for a relaxed structure of Pr6Er8Th, as listed in the Alexandria database.

Values from the calculation:
**Energy of formation from the pure elements**: 0.12 eV/atom
**Final energy**: -4.717 eV/atom
**Crystal system**: trigonal
**N(E_F)**: 22.9 states/eV per cell
**Calculated density**: 8.0 g cm⁻³

Unit cell a=8.750 b=8.750 c=8.750 alpha=62.59 beta=62.59 gamma=62.59
Fractional coordinates of all 15 atoms:
Er1 0.762 0.114 0.710
Er2 0.423 0.423 0.423
Er3 0.710 0.762 0.114
Er4 0.114 0.710 0.762
Er5 0.886 0.290 0.238
Er6 0.577 0.577 0.577
Er7 0.290 0.238 0.886
Er8 0.238 0.886 0.290
Pr1 0.231 0.097 0.537
Pr2 0.463 0.769 0.903
Pr3 0.537 0.231 0.097
Pr4 0.769 0.903 0.463
Pr5 0.903 0.463 0.769
Pr6 0.097 0.537 0.231
Th1 0.000 0.000 0.000